## Sc4SiSe2S (PBE-GGA)

Data for an optimized crystal structure of Sc4SiSe2S.

a = 6.6065 Å, b = 3.8079 Å, c = 6.7055 Å
α = 90.00°, β = 109.26°, γ = 90.00°
Positions (direct):
Sc 0.2422 0.0000 0.2324
Sc 0.2546 0.5000 0.7722
Sc 0.7454 0.5000 0.2278
Sc 0.7578 0.0000 0.7676
Si 0.0000 0.5000 0.0000
Se 0.0000 0.0000 0.5000
Se 0.5000 0.5000 0.5000
S 0.5000 0.0000 0.0000

Properties
E_tot = -6.725 eV/atom
DOS at the Fermi energy = 0.42 states/eV/atom

=====

## La6GaNi3 (PBE-GGA)

Data for an optimized crystal structure of La6GaNi3.

a = 10.8281 Å, b = 4.3277 Å, c = 12.6312 Å
α = 90.00°, β = 110.98°, γ = 90.00°
Positions (direct):
La 0.0035 0.2500 0.1209
La 0.0792 0.7500 0.4214
La 0.2194 0.2500 0.8068
La 0.3478 0.2500 0.3114
La 0.3490 0.2500 0.6036
La 0.3711 0.7500 0.0661
La 0.6289 0.2500 0.9339
La 0.6510 0.7500 0.3964
La 0.6522 0.7500 0.6886
La 0.7806 0.7500 0.1932
La 0.9208 0.2500 0.5786
La 0.9965 0.7500 0.8791
Ga 0.4214 0.7500 0.8005
Ga 0.5786 0.2500 0.1995
Ni 0.1418 0.7500 0.6499
Ni 0.1806 0.2500 0.0244
Ni 0.4217 0.7500 0.4729
Ni 0.5783 0.2500 0.5271
Ni 0.8194 0.7500 0.9756
Ni 0.8582 0.2500 0.3501

Properties
DOS at the Fermi energy = 1.18 states/eV/atom
energy of formation from the pure elements = -2.6 eV/f.u.

=====

## NaInHg14 (PBE-GGA)

Data for an optimized crystal structure of NaInHg14.

a = 8.6184 Å, b = 7.0532 Å, c = 7.0532 Å
α = 89.19°, β = 90.00°, γ = 90.00°
Positions (direct):
Na 0.0000 0.0000 0.0000
In 0.0000 0.5007 0.5007
Hg 0.0000 0.0000 0.4999
Hg 0.0000 0.4999 0.0000
Hg 0.2501 0.2483 0.7514
Hg 0.2496 0.2489 0.2489
Hg 0.2501 0.7514 0.2483
Hg 0.2501 0.7515 0.7515
Hg 0.5000 0.0005 0.0005
Hg 0.5000 0.9998 0.4999
Hg 0.5000 0.4999 0.9998
Hg 0.5000 0.4999 0.4999
Hg 0.7499 0.2483 0.7514
Hg 0.7504 0.2489 0.2489
Hg 0.7499 0.7514 0.2483
Hg 0.7499 0.7515 0.7515

Properties
DOS at the Fermi energy = 0.36 states/eV/atom
energy of formation from the pure elements = -0.7 eV/f.u.